Tm2Tl2InS6: optimized geometry, PBE.

extended XYZ file:
```
11
Lattice="6.821 -0.028 0.062 -3.396 5.916 0.062 -1.221 -2.099 7.177" Properties=species:S:1:pos:R:3 pbc="T T T"
Tm -0.616 2.894 3.651
Tm 2.820 0.895 3.651
Tl 5.092 0.977 0.062
Tl -1.667 4.910 0.062
In -0.611 -1.049 3.589
S 1.701 2.924 5.098
S -1.768 0.899 5.093
S 0.503 0.864 2.204
S 1.655 -1.092 5.093
S 3.972 2.889 2.208
S 0.549 4.881 2.208
```

Values from the calculation:
Space-group type: C2/m, No. 12
E_form (uncorrected) (kJ/mol of atoms): -108.8
Magnetic moment (μB per cell): 0.00
DFT total energy (eV/atom): -4.87